(1)
SrLi2Au, optimized geometry, DFT GGA-PBEsol; calculated density = 4.810 Mg/m³; calculated formation energy = -0.324 eV/atom; magnetization = 0.0 μB per cell
1.0
4.122 0.000 0.000
0.000 4.119 0.000
-0.028 0.000 6.068
Sr Li Au
1 2 1
Direct
0.000 0.000 0.000
0.004 0.500 0.483
0.503 0.000 0.484
0.501 0.500 0.209

=====

(2)
ScAl2Ru, optimized geometry, DFT GGA-PBEsol; calculated density = 4.841 Mg/m³; calculated formation energy = -0.026 eV/atom; magnetization = 0.0 μB per cell
1.0
-1.896 1.896 9.544
1.896 -1.896 9.544
1.896 1.896 -9.544
Sc Al Ru
2 4 2
Direct
0.000 0.000 0.000
0.750 0.250 0.500
0.140 0.625 0.015
0.375 0.390 0.515
0.610 0.125 0.985
0.875 0.860 0.485
0.250 0.750 0.500
0.500 0.500 0.000

=====

(3)
Al2SiHg, optimized geometry, DFT GGA-PBEsol; calculated density = 6.470 Mg/m³; formation energy (no corrections) = 0.469 eV per formula unit; magnetization = 0.0 μB per cell
1.0
2.989 0.000 0.000
0.000 3.151 0.000
0.000 0.000 7.702
Al Si Hg
2 1 1
Direct
0.000 0.000 0.205
0.000 0.000 0.795
0.500 0.500 0.000
0.000 0.500 0.500

=====

Repeat the first record exactly.
SrLi2Au, optimized geometry, DFT GGA-PBEsol; calculated density = 4.810 Mg/m³; calculated formation energy = -0.324 eV/atom; magnetization = 0.0 μB per cell
1.0
4.122 0.000 0.000
0.000 4.119 0.000
-0.028 0.000 6.068
Sr Li Au
1 2 1
Direct
0.000 0.000 0.000
0.004 0.500 0.483
0.503 0.000 0.484
0.501 0.500 0.209

=====

Copy entry 1 word for word.
SrLi2Au, optimized geometry, DFT GGA-PBEsol; calculated density = 4.810 Mg/m³; calculated formation energy = -0.324 eV/atom; magnetization = 0.0 μB per cell
1.0
4.122 0.000 0.000
0.000 4.119 0.000
-0.028 0.000 6.068
Sr Li Au
1 2 1
Direct
0.000 0.000 0.000
0.004 0.500 0.483
0.503 0.000 0.484
0.501 0.500 0.209

=====

Which of these has the highest calculated density?
Al2SiHg

=====

Look up the calculated density of the third one.
6.470 Mg/m³